Material: RbMg3B
Method: DFT, PBE
State: optimized geometry Values from VASP.

```
&SYSTEM
  ibrav = 0, nat = 5, ntyp = 3
/
ATOMIC_SPECIES
B 10.81 B.upf
Mg 24.30 Mg.upf
Rb 85.47 Rb.upf
ATOMIC_POSITIONS crystal
B 0.5000 0.5000 0.5000
Mg 0.0000 0.5000 0.0000
Mg 0.0000 0.0000 0.5000
Mg 0.5000 0.0000 0.0000
Rb 0.0000 0.0000 0.0000
CELL_PARAMETERS angstrom
-4.1787 -4.8469 2.9788
5.6847 -3.4121 2.4228
-0.2238 3.8331 5.9232
```

Properties
symmetry: No. 221
DFT formation energy: 1.99 eV per atom
energy above the most stable polymorph in this dataset: 1491.7 meV/atom